A geometry-optimized Tl6GePd12 structure. Source: Alexandria, functional PBE.

Geometry as POSCAR:
```
Tl6GePd12
1.0
5.665 3.271 3.484
-5.665 3.271 3.484
0.000 -6.541 3.484
Tl Ge Pd
6 1 12
Direct
0.003 0.251 0.337
0.251 0.337 0.003
0.337 0.003 0.251
0.663 0.997 0.749
0.749 0.663 0.997
0.997 0.749 0.663
0.500 0.500 0.500
0.008 0.126 0.674
0.126 0.674 0.008
0.215 0.477 0.659
0.326 0.992 0.874
0.341 0.785 0.523
0.477 0.659 0.215
0.523 0.341 0.785
0.659 0.215 0.477
0.674 0.008 0.126
0.785 0.523 0.341
0.874 0.326 0.992
0.992 0.874 0.326
```

Summary:
Formation energy from the elements   -0.05 eV/atom
SG   R-3, No. 148
DFT total energy   -4.316 eV/atom

A geometry-optimized PuBi4O10 structure. Source: Alexandria, functional PBE.

Geometry as POSCAR:
```
PuBi4O10
1.0
-4.328 4.328 2.756
4.328 -4.328 2.756
4.328 4.328 -2.756
Pu Bi O
1 4 10
Direct
0.000 0.000 0.000
0.198 0.600 0.798
0.400 0.198 0.598
0.600 0.802 0.402
0.802 0.400 0.202
0.045 0.138 0.718
0.138 0.420 0.093
0.250 0.750 0.500
0.327 0.045 0.907
0.420 0.327 0.282
0.580 0.673 0.718
0.673 0.955 0.093
0.750 0.250 0.500
0.862 0.580 0.907
0.955 0.862 0.282
```

Summary:
Uncorrected formation energy   -1.439 eV/atom
SG   I4/m, No. 87
DFT total energy   -6.735 eV/atom